VASP calculation (PBE-GGA) on a geometry-optimized Sr4Th3ScBi8 structure.

total DFT energy (no corrections): -78.28 eV for the cell shown
total magnetic moment: 0.00 μB/f.u.
ΔH_f (0 K): -0.745 eV per atom

Cell lengths 9.470, 9.470, 9.470 Å; angles 58.80, 58.80, 58.80 degrees
Fractional coordinates of all 16 atoms:
Sr1 0.000 0.000 0.000
Sr2 0.000 0.500 0.500
Sr3 0.500 0.000 0.500
Sr4 0.500 0.500 0.000
Th1 0.000 0.000 0.500
Th2 0.000 0.500 0.000
Th3 0.500 0.000 0.000
Sc1 0.500 0.500 0.500
Bi1 0.245 0.245 0.245
Bi2 0.253 0.736 0.736
Bi3 0.264 0.264 0.747
Bi4 0.264 0.747 0.264
Bi5 0.736 0.253 0.736
Bi6 0.736 0.736 0.253
Bi7 0.747 0.264 0.264
Bi8 0.755 0.755 0.755

***

VASP calculation (PBE-GGA) on a geometry-optimized ScTa2Bi structure.

total DFT energy (no corrections): -61.09 eV for the cell shown
total magnetic moment: 0.00 μB/f.u.
ΔH_f (0 K): 0.843 eV per atom

Cell lengths 6.406, 6.406, 6.406 Å; angles 101.25, 101.25, 127.58 degrees
Fractional coordinates of all 8 atoms:
Sc1 0.000 0.000 0.000
Sc2 0.750 0.250 0.500
Ta1 0.148 0.625 0.023
Ta2 0.375 0.398 0.523
Ta3 0.602 0.125 0.977
Ta4 0.875 0.852 0.477
Bi1 0.250 0.750 0.500
Bi2 0.500 0.500 0.000

***

VASP calculation (PBE-GGA) on a geometry-optimized ScTa3Bi structure.

energy above the most stable polymorph in this dataset: 189 meV/atom
total DFT energy (no corrections): -36.13 eV for the cell shown
total magnetic moment: 0.00 μB/f.u.
ΔH_f (0 K): 1.928 eV per atom

Cell lengths 5.136, 5.136, 5.136 Å; angles 90.00, 90.00, 90.00 degrees
Fractional coordinates of all 5 atoms:
Sc1 0.000 0.000 0.000
Ta1 0.000 0.500 0.500
Ta2 0.500 0.000 0.500
Ta3 0.500 0.500 0.000
Bi1 0.500 0.500 0.500

***

VASP calculation (PBE-GGA) on a geometry-optimized ScTaBi structure.

total DFT energy (no corrections): -44.92 eV for the cell shown
total magnetic moment: 0.00 μB/f.u.
ΔH_f (0 K): -0.132 eV per atom

Cell lengths 3.605, 3.605, 11.304 Å; angles 90.00, 90.00, 90.00 degrees
Fractional coordinates of all 6 atoms:
Sc1 0.250 0.250 0.209
Sc2 0.750 0.750 0.791
Ta1 0.250 0.250 0.946
Ta2 0.750 0.750 0.054
Bi1 0.250 0.250 0.633
Bi2 0.750 0.750 0.367

***

VASP calculation (PBE-GGA) on a geometry-optimized ScTa3Bi structure.

energy above the most stable polymorph in this dataset: 0 meV/atom
total DFT energy (no corrections): -37.07 eV for the cell shown
total magnetic moment: 0.00 μB/f.u.
ΔH_f (0 K): 1.739 eV per atom

Cell lengths 4.860, 4.860, 4.860 Å; angles 90.00, 90.00, 90.00 degrees
Fractional coordinates of all 5 atoms:
Sc1 0.000 0.000 0.000
Ta1 0.000 0.000 0.500
Ta2 0.000 0.500 0.000
Ta3 0.500 0.000 0.000
Bi1 0.500 0.500 0.500

***

VASP calculation (PBE-GGA) on a geometry-optimized ScTa2BiTe structure.

formation energy without anion corrections: 1536 meV/atom
total DFT energy (no corrections): -29.38 eV for the cell shown
total magnetic moment: 0.88 μB/f.u.

Cell lengths 5.020, 5.020, 5.302 Å; angles 90.00, 90.00, 90.00 degrees
Fractional coordinates of all 5 atoms:
Sc1 0.000 0.000 0.000
Ta1 0.000 0.500 0.000
Ta2 0.500 0.000 0.000
Bi1 0.000 0.000 0.500
Te1 0.500 0.500 0.500

***

VASP calculation (PBE-GGA) on a geometry-optimized ScTaV2Bi structure.

total DFT energy (no corrections): -35.29 eV for the cell shown
total magnetic moment: 2.70 μB/f.u.
ΔH_f (0 K): 1.002 eV per atom

Cell lengths 4.693, 4.693, 5.305 Å; angles 90.00, 90.00, 90.00 degrees
Fractional coordinates of all 5 atoms:
Sc1 0.000 0.000 0.000
Ta1 0.000 0.000 0.500
V1 0.000 0.500 0.500
V2 0.500 0.000 0.500
Bi1 0.500 0.500 0.000

***

VASP calculation (PBE-GGA) on a geometry-optimized Tb4ScBi5 structure.

total DFT energy (no corrections): -52.51 eV for the cell shown
total magnetic moment: 0.00 μB/f.u.
ΔH_f (0 K): -0.825 eV per atom

Cell lengths 7.709, 7.709, 7.709 Å; angles 99.64, 99.64, 131.69 degrees
Fractional coordinates of all 10 atoms:
Tb1 0.096 0.699 0.795
Tb2 0.301 0.096 0.397
Tb3 0.699 0.904 0.603
Tb4 0.904 0.301 0.205
Sc1 0.500 0.500 0.000
Bi1 0.000 0.000 0.000
Bi2 0.209 0.401 0.610
Bi3 0.401 0.791 0.193
Bi4 0.599 0.209 0.807
Bi5 0.791 0.599 0.390